Compound: KHfZn3
Source: the Alexandria database
Functional: GGA-PBE
Structure: optimized geometry

The value obtained for the distance to the lowest polymorph of the same formula is 837 meV/atom. For the density, the calculation gives 5.4 g/cm³. The formation energy is 1.413 eV/atom. As for the calculated volume: 126 Å³/cell. The density of states at the Fermi level is 4.02 states/eV/f.u. Its magnetic moment is 0.000 μB per atom. For the total energy, the calculation gives -1.561 eV/atom.

It has space group Pm-3m (No. 221), with a = 5.018 Å, b = 5.018 Å, c = 5.018 Å, α = 90.00°, β = 90.00° and γ = 90.00°. The asymmetric unit holds K at (0.000, 0.000, 0.000), Hf at (0.500, 0.500, 0.500) and Zn at (0.000, 0.000, 0.500).


Compound: KHfZn2
Source: the Alexandria database
Functional: GGA-PBE
Structure: optimized geometry

The value obtained for the distance to the lowest polymorph of the same formula is 0 meV/atom. For the density, the calculation gives 6.4 g/cm³. The formation energy is 0.537 eV/atom. As for the calculated volume: 360 Å³/cell. The density of states at the Fermi level is 2.56 states/eV/f.u. Its magnetic moment is 0.000 μB per atom. For the total energy, the calculation gives -2.863 eV/atom.

It has space group Fm-3m (No. 225), with a = 7.115 Å, b = 7.115 Å, c = 7.115 Å, α = 90.00°, β = 90.00° and γ = 90.00°. The asymmetric unit holds K at (0.000, 0.000, 0.000), Hf at (0.000, 0.000, 0.500) and Zn at (0.250, 0.250, 0.250).


Compound: KHf3Zn
Source: the Alexandria database
Functional: GGA-PBE
Structure: optimized geometry

The value obtained for the distance to the lowest polymorph of the same formula is 0 meV/atom. For the density, the calculation gives 7.8 g/cm³. The formation energy is 1.074 eV/atom. As for the calculated volume: 136 Å³/cell. The density of states at the Fermi level is 8.54 states/eV/f.u. Its magnetic moment is 0.000 μB per atom. For the total energy, the calculation gives -5.372 eV/atom.

It has space group Pm-3m (No. 221), with a = 5.141 Å, b = 5.141 Å, c = 5.141 Å, α = 90.00°, β = 90.00° and γ = 90.00°. The asymmetric unit holds K at (0.000, 0.000, 0.000), Hf at (0.000, 0.500, 0.500) and Zn at (0.500, 0.500, 0.500).


Compound: KHf3Zn
Source: the Alexandria database
Functional: GGA-PBE
Structure: optimized geometry

The value obtained for the distance to the lowest polymorph of the same formula is 1117 meV/atom. For the density, the calculation gives 9.1 g/cm³. The formation energy is 2.191 eV/atom. As for the calculated volume: 117 Å³/cell. The density of states at the Fermi level is 9.27 states/eV/f.u. Its magnetic moment is 0.002 μB per atom. For the total energy, the calculation gives -4.255 eV/atom.

It has space group Pm-3m (No. 221), with a = 4.894 Å, b = 4.894 Å, c = 4.894 Å, α = 90.00°, β = 90.00° and γ = 90.00°. The asymmetric unit holds K at (0.000, 0.000, 0.000), Hf at (0.000, 0.000, 0.500) and Zn at (0.500, 0.500, 0.500).